Record 1
Here is LiZnNO after structural relaxation from OQMD via LeMat-Bulk. Energies are from PBE.

The structure in POSCAR format:
```
LiZnNO
1.0
-2.4698 2.1168 1.8931
-3.7961 -4.4071 -0.0247
2.7106 -2.3695 6.1857
O Zn N Li
4 4 4 4
Cartesian
-0.0614 -0.7844 4.9199
0.0762 -3.1167 3.9662
-2.6488 -2.3854 3.3346
-2.5112 -4.7177 2.3809
-4.1070 -3.9984 3.2354
-1.1315 -3.0360 2.3002
1.5346 -1.5038 4.0652
-1.4409 -2.4663 5.0005
-1.7224 0.0175 1.8375
-0.8378 -5.5303 5.4538
-0.9459 -1.5730 0.8879
-1.6143 -3.9397 6.4033
-3.5143 -4.4622 0.7923
0.9379 -1.0366 6.5115
-3.0412 -1.4209 1.7499
0.4648 -4.0779 5.5538
```

Properties
Calculated total energy: -69.786 eV per cell
Energy above the lowest structure with this stoichiometry: 0.16 eV/f.u.

---

Record 2
Here is NpCo2 after structural relaxation from OQMD via LeMat-Bulk. Energies are from PBE.

The structure in POSCAR format:
```
NpCo2
1.0
-0.3900 1.3474 4.6274
3.2405 2.1445 -2.8776
-4.7213 0.8262 -0.6385
Np Co
2 4
Cartesian
0.1474 2.2894 1.8721
0.0000 0.0000 0.0000
-2.4820 2.2315 2.9305
-2.2869 1.5578 0.6168
-0.6667 2.6300 -0.8220
1.6940 2.2169 -0.5028
```

Properties
Calculated total energy: -54.281 eV per cell
ΔH_f (0 K): -5 kJ per mole of atoms

---

Record 3
Here is Y2ThCo2 after structural relaxation from OQMD via LeMat-Bulk. Energies are from PBE.

The structure in POSCAR format:
```
Y2ThCo2
1.0
-2.0108 -0.8623 5.6851
0.1174 -5.5587 2.4887
6.6839 2.0461 1.4440
Co Y Th
4 4 2
Cartesian
2.8869 -4.7801 4.9928
6.7070 -1.7964 3.1523
1.9037 0.4052 4.6250
-1.9164 -2.5785 6.4654
1.8974 -1.9968 2.9835
4.7907 0.0164 4.3794
-0.0001 -4.3913 5.2383
2.8932 -2.3781 6.6342
4.9485 -3.6229 3.8448
-0.1579 -0.7521 5.7730
```

Properties
Calculated total energy: -71.709 eV per cell
ΔH_f (0 K): -25 kJ per mole of atoms

---

Record 4
Here is HoTmBe2Si2 after structural relaxation from OQMD via LeMat-Bulk. Energies are from PBE.

The structure in POSCAR format:
```
HoTmBe2Si2
1.0
3.8511 0.0000 0.0000
-1.9256 3.3352 0.0000
0.0000 0.0000 7.9439
Be Tm Si Ho
2 1 2 1
Cartesian
1.9256 1.1117 1.9729
0.0000 2.2234 5.9710
0.0000 0.0000 0.0000
1.9256 1.1117 5.9752
0.0000 2.2234 1.9687
0.0000 0.0000 3.9720
```

Properties
Calculated total energy: -31.277 eV per cell